# 1
An optimized crystal structure of K2YHfBi. Source: Alexandria, functional GGA-PBE.

Cell and atoms, written as extended XYZ:
```
5
Lattice="-4.185 5.138 -0.627 -0.944 -1.414 -5.289 -5.052 -3.877 1.938" Properties=species:S:1:pos:R:3 pbc="T T T"
Bi -0.472 -0.707 -2.644
K -2.092 2.569 -0.314
K -2.526 -1.939 0.969
Hf 0.000 0.000 0.000
Y -5.090 -0.076 -1.989
```

## Properties
Volume in Å³ per cell: 246.1
Symmetry: P4/mmm, No. 123
Total moment in μB/cell: 1.66
Energy of formation in eV/atom: 1.041
E_tot in eV/atom: -3.4574



# 2
An optimized crystal structure of LaHfBi2. Source: Alexandria, functional GGA-PBE.

Cell and atoms, written as extended XYZ:
```
4
Lattice="2.272 2.821 4.051 -0.573 5.400 0.206 -3.128 2.256 3.828" Properties=species:S:1:pos:R:3 pbc="T T T"
Bi -0.357 2.619 2.021
Bi -1.071 7.858 6.064
Hf -0.714 5.239 4.042
La 0.000 0.000 0.000
```

## Properties
Volume in Å³ per cell: 113.5
Symmetry: Fm-3m, No. 225
Total moment in μB/cell: 1.07
Energy of formation in eV/atom: -0.305
E_tot in eV/atom: -5.9657
Energy above the lowest structure with this stoichiometry in meV per atom: 0



# 3
An optimized crystal structure of LaHfBi3. Source: Alexandria, functional GGA-PBE.

Cell and atoms, written as extended XYZ:
```
5
Lattice="-2.044 -4.051 3.336 3.208 -3.798 -2.646 4.153 0.940 3.686" Properties=species:S:1:pos:R:3 pbc="T T T"
Bi 1.604 -1.899 -1.323
Bi -1.022 -2.025 1.668
La 2.659 -3.454 2.188
Hf 0.000 0.000 0.000
Bi 2.077 0.470 1.843
```

## Properties
Volume in Å³ per cell: 178.6
Symmetry: Pm-3m, No. 221
Total moment in μB/cell: 0.00
Energy of formation in eV/atom: -0.065
E_tot in eV/atom: -5.3699
Energy above the lowest structure with this stoichiometry in meV per atom: 450



# 4
An optimized crystal structure of LaHfBi3. Source: Alexandria, functional GGA-PBE.

Cell and atoms, written as extended XYZ:
```
5
Lattice="-5.406 0.466 2.492 -1.766 -4.904 -2.912 1.820 -3.374 4.578" Properties=species:S:1:pos:R:3 pbc="T T T"
Bi 0.910 -1.687 2.289
Hf -2.676 -3.906 2.079
La 0.000 0.000 0.000
Bi -2.703 0.233 1.246
Bi -0.883 -2.452 -1.456
```

## Properties
Volume in Å³ per cell: 212.9
Symmetry: Pm-3m, No. 221
Total moment in μB/cell: 1.14
Energy of formation in eV/atom: 1.078
E_tot in eV/atom: -4.2268
Energy above the lowest structure with this stoichiometry in meV per atom: 1593